The following is a DFT calculation (PBEsol) of a relaxed TeAsSBr2 crystal.

Results
- crystal system = tetragonal

Geometry as CIF:
```
data_TeAsSBr2
_chemical_formula_sum 'Te1 As1 S1 Br2'
_space_group_name_H-M_alt 'P 4/m m m'
_space_group_IT_number 123
_space_group_name_Hall '-P 4 2'
_cell_length_a 5.5746
_cell_length_b 5.5746
_cell_length_c 4.9586
_cell_angle_alpha 90.00
_cell_angle_beta 90.00
_cell_angle_gamma 90.00
loop_
_atom_site_label
_atom_site_type_symbol
_atom_site_fract_x
_atom_site_fract_y
_atom_site_fract_z
Te1 Te 0.0000 0.0000 0.0000
As1 As 0.5000 0.5000 0.5000
S1 S 0.0000 0.0000 0.5000
Br1 Br 0.0000 0.5000 0.0000
```

=====

The following is a DFT calculation (PBEsol) of a relaxed AsWSBr2 crystal.

Results
- crystal system = tetragonal

Geometry as CIF:
```
data_AsWSBr2
_chemical_formula_sum 'As1 W1 S1 Br2'
_space_group_name_H-M_alt 'P 4/m m m'
_space_group_IT_number 123
_space_group_name_Hall '-P 4 2'
_cell_length_a 4.8424
_cell_length_b 4.8424
_cell_length_c 4.9209
_cell_angle_alpha 90.00
_cell_angle_beta 90.00
_cell_angle_gamma 90.00
loop_
_atom_site_label
_atom_site_type_symbol
_atom_site_fract_x
_atom_site_fract_y
_atom_site_fract_z
As1 As 0.0000 0.0000 0.0000
W1 W 0.5000 0.5000 0.0000
S1 S 0.0000 0.0000 0.5000
Br1 Br 0.0000 0.5000 0.5000
```

=====

The following is a DFT calculation (PBEsol) of a relaxed Sb2As2Br crystal.

Results
- crystal system = tetragonal

Geometry as CIF:
```
data_Sb2As2Br
_chemical_formula_sum 'Sb4 As4 Br2'
_space_group_name_H-M_alt 'I 4/m m m'
_space_group_IT_number 139
_space_group_name_Hall '-I 4 2'
_cell_length_a 5.3505
_cell_length_b 5.3505
_cell_length_c 8.8924
_cell_angle_alpha 90.00
_cell_angle_beta 90.00
_cell_angle_gamma 90.00
loop_
_atom_site_label
_atom_site_type_symbol
_atom_site_fract_x
_atom_site_fract_y
_atom_site_fract_z
Sb1 Sb 0.0000 0.5000 0.2500
As1 As 0.0000 0.0000 0.1386
Br1 Br 0.0000 0.0000 0.5000
```

=====

The following is a DFT calculation (PBEsol) of a relaxed ScSbAs2Br crystal.

Results
- crystal system = tetragonal

Geometry as CIF:
```
data_ScSbAs2Br
_chemical_formula_sum 'Sc1 Sb1 As2 Br1'
_space_group_name_H-M_alt 'P 4/m m m'
_space_group_IT_number 123
_space_group_name_Hall '-P 4 2'
_cell_length_a 5.2168
_cell_length_b 5.2168
_cell_length_c 5.2017
_cell_angle_alpha 90.00
_cell_angle_beta 90.00
_cell_angle_gamma 90.00
loop_
_atom_site_label
_atom_site_type_symbol
_atom_site_fract_x
_atom_site_fract_y
_atom_site_fract_z
Sc1 Sc 0.0000 0.0000 0.0000
Sb1 Sb 0.5000 0.5000 0.5000
As1 As 0.0000 0.5000 0.5000
Br1 Br 0.5000 0.5000 0.0000
```

=====

| no. | E_form (uncorrected) (eV per formula unit) |
| --- | --- |
| 1 | 2.998 |
| 2 | 7.557 |
| 3 | 0.128 |
| 4 | 2.171 |